# 1
Material: YHo3In3
Method: DFT, PBE-GGA
State: relaxed

Values from the calculation:
Symmetry: No. 198
Energy: -4.37 eV/atom

The structure in CIF format:
```
data_YHo3In3
_chemical_formula_sum 'Y4 Ho12 In12'
_space_group_name_H-M_alt 'P 1'
_space_group_IT_number 1
_cell_length_a 9.2905
_cell_length_b 9.2905
_cell_length_c 9.2905
_cell_angle_alpha 90.00
_cell_angle_beta 90.00
_cell_angle_gamma 90.00
loop_
_space_group_symop_operation_xyz
'x,y,z'
loop_
_atom_site_label
_atom_site_fract_x
_atom_site_fract_y
_atom_site_fract_z
_atom_site_occupancy
Y1 0.0714 0.4286 0.5714 1
Y2 0.4286 0.5714 0.0714 1
Y3 0.5714 0.0714 0.4286 1
Y4 0.9286 0.9286 0.9286 1
Ho1 0.0780 0.5780 0.9220 1
Ho2 0.1754 0.1754 0.1754 1
Ho3 0.1754 0.8246 0.3246 1
Ho4 0.3246 0.1754 0.8246 1
Ho5 0.3246 0.8246 0.6754 1
Ho6 0.4220 0.4220 0.4220 1
Ho7 0.5780 0.9220 0.0780 1
Ho8 0.6754 0.3246 0.8246 1
Ho9 0.6754 0.6754 0.6754 1
Ho10 0.8246 0.3246 0.1754 1
Ho11 0.8246 0.6754 0.3246 1
Ho12 0.9220 0.0780 0.5780 1
In1 0.0011 0.2543 0.8754 1
In2 0.1246 0.5011 0.2457 1
In3 0.2457 0.1246 0.5011 1
In4 0.2543 0.8754 0.0011 1
In5 0.3754 0.4989 0.7457 1
In6 0.4989 0.7457 0.3754 1
In7 0.5011 0.2457 0.1246 1
In8 0.6246 0.9989 0.7543 1
In9 0.7457 0.3754 0.4989 1
In10 0.7543 0.6246 0.9989 1
In11 0.8754 0.0011 0.2543 1
In12 0.9989 0.7543 0.6246 1
```

# 2
Material: Y4Ho15In
Method: DFT, PBE-GGA
State: relaxed

Values from the calculation:
Symmetry: No. 123
Energy: -4.89 eV/atom

The structure in CIF format:
```
data_Y4Ho15In
_chemical_formula_sum 'Y4 Ho15 In1'
_space_group_name_H-M_alt 'P 1'
_space_group_IT_number 1
_cell_length_a 4.9480
_cell_length_b 4.9480
_cell_length_c 25.0612
_cell_angle_alpha 90.00
_cell_angle_beta 90.00
_cell_angle_gamma 90.00
loop_
_space_group_symop_operation_xyz
'x,y,z'
loop_
_atom_site_label
_atom_site_fract_x
_atom_site_fract_y
_atom_site_fract_z
_atom_site_occupancy
Y1 0.0000 0.0000 0.1009 1
Y2 0.0000 0.0000 0.3020 1
Y3 0.0000 0.0000 0.6980 1
Y4 0.0000 0.0000 0.8991 1
Ho1 0.0000 0.5000 0.0000 1
Ho2 0.0000 0.5000 0.2017 1
Ho3 0.0000 0.5000 0.4035 1
Ho4 0.0000 0.5000 0.5965 1
Ho5 0.0000 0.5000 0.7983 1
Ho6 0.5000 0.0000 0.0000 1
Ho7 0.5000 0.0000 0.2017 1
Ho8 0.5000 0.0000 0.4035 1
Ho9 0.5000 0.0000 0.5965 1
Ho10 0.5000 0.0000 0.7983 1
Ho11 0.5000 0.5000 0.1013 1
Ho12 0.5000 0.5000 0.3045 1
Ho13 0.5000 0.5000 0.5000 1
Ho14 0.5000 0.5000 0.6955 1
Ho15 0.5000 0.5000 0.8987 1
In1 0.0000 0.0000 0.5000 1
```

# 3
Material: Y7Ho12In
Method: DFT, PBE-GGA
State: relaxed

Values from the calculation:
Symmetry: No. 148
Energy: -4.98 eV/atom

The structure in CIF format:
```
data_Y7Ho12In
_chemical_formula_sum 'Y7 Ho12 In1'
_space_group_name_H-M_alt 'P 1'
_space_group_IT_number 1
_cell_length_a 8.6130
_cell_length_b 8.6130
_cell_length_c 8.6130
_cell_angle_alpha 88.97
_cell_angle_beta 88.97
_cell_angle_gamma 88.97
loop_
_space_group_symop_operation_xyz
'x,y,z'
loop_
_atom_site_label
_atom_site_fract_x
_atom_site_fract_y
_atom_site_fract_z
_atom_site_occupancy
Y1 0.0000 0.0000 0.0000 1
Y2 0.1153 0.4399 0.3527 1
Y3 0.3527 0.1153 0.4399 1
Y4 0.4399 0.3527 0.1153 1
Y5 0.5601 0.6473 0.8847 1
Y6 0.6473 0.8847 0.5601 1
Y7 0.8847 0.5601 0.6473 1
Ho1 0.0001 0.1155 0.6449 1
Ho2 0.9999 0.8845 0.3551 1
Ho3 0.1155 0.6449 0.0001 1
Ho4 0.2396 0.7552 0.6301 1
Ho5 0.2448 0.3699 0.7604 1
Ho6 0.3551 0.9999 0.8845 1
Ho7 0.3699 0.7604 0.2448 1
Ho8 0.6301 0.2396 0.7552 1
Ho9 0.6449 0.0001 0.1155 1
Ho10 0.7552 0.6301 0.2396 1
Ho11 0.7604 0.2448 0.3699 1
Ho12 0.8845 0.3551 0.9999 1
In1 0.5000 0.5000 0.5000 1
```

# 4
Material: Y2Ho7In2
Method: DFT, PBE-GGA
State: relaxed

Values from the calculation:
Symmetry: No. 12
Energy: -4.72 eV/atom

The structure in CIF format:
```
data_Y2Ho7In2
_chemical_formula_sum 'Y2 Ho7 In2'
_space_group_name_H-M_alt 'P 1'
_space_group_IT_number 1
_cell_length_a 6.4941
_cell_length_b 6.4941
_cell_length_c 8.4014
_cell_angle_alpha 102.27
_cell_angle_beta 102.27
_cell_angle_gamma 97.79
loop_
_space_group_symop_operation_xyz
'x,y,z'
loop_
_atom_site_label
_atom_site_fract_x
_atom_site_fract_y
_atom_site_fract_z
_atom_site_occupancy
Y1 0.1844 0.8156 0.0000 1
Y2 0.8156 0.1844 0.0000 1
Ho1 0.0198 0.3784 0.6722 1
Ho2 0.3584 0.3584 0.0816 1
Ho3 0.3784 0.0198 0.6722 1
Ho4 0.5000 0.5000 0.5000 1
Ho5 0.6216 0.9802 0.3278 1
Ho6 0.6416 0.6416 0.9184 1
Ho7 0.9802 0.6216 0.3278 1
In1 0.1231 0.1231 0.3281 1
In2 0.8769 0.8769 0.6719 1
```

# 5
Material: YHo2In2
Method: DFT, PBE-GGA
State: relaxed

Values from the calculation:
Symmetry: No. 164
Energy: -4.44 eV/atom

The structure in CIF format:
```
data_YHo2In2
_chemical_formula_sum 'Y1 Ho2 In2'
_space_group_name_H-M_alt 'P 1'
_space_group_IT_number 1
_cell_length_a 5.2038
_cell_length_b 5.2038
_cell_length_c 6.4756
_cell_angle_alpha 90.00
_cell_angle_beta 90.00
_cell_angle_gamma 120.00
loop_
_space_group_symop_operation_xyz
'x,y,z'
loop_
_atom_site_label
_atom_site_fract_x
_atom_site_fract_y
_atom_site_fract_z
_atom_site_occupancy
Y1 0.0000 0.0000 0.0000 1
Ho1 0.3333 0.6667 0.6609 1
Ho2 0.6667 0.3333 0.3391 1
In1 0.3333 0.6667 0.1802 1
In2 0.6667 0.3333 0.8198 1
```

# 6
Material: Y3Ho6In
Method: DFT, PBE-GGA
State: relaxed

Values from the calculation:
Symmetry: No. 11
Energy: -4.99 eV/atom

The structure in CIF format:
```
data_Y3Ho6In
_chemical_formula_sum 'Y6 Ho12 In2'
_space_group_name_H-M_alt 'P 1'
_space_group_IT_number 1
_cell_length_a 12.8413
_cell_length_b 3.5373
_cell_length_c 14.3638
_cell_angle_alpha 90.00
_cell_angle_beta 108.30
_cell_angle_gamma 90.00
loop_
_space_group_symop_operation_xyz
'x,y,z'
loop_
_atom_site_label
_atom_site_fract_x
_atom_site_fract_y
_atom_site_fract_z
_atom_site_occupancy
Y1 0.0094 0.2500 0.3965 1
Y2 0.3766 0.2500 0.9973 1
Y3 0.4689 0.2500 0.5940 1
Y4 0.5311 0.7500 0.4060 1
Y5 0.6234 0.7500 0.0027 1
Y6 0.9906 0.7500 0.6035 1
Ho1 0.1357 0.7500 0.0227 1
Ho2 0.1443 0.2500 0.8082 1
Ho3 0.2187 0.2500 0.5992 1
Ho4 0.2526 0.7500 0.3935 1
Ho5 0.3332 0.2500 0.2163 1
Ho6 0.3853 0.7500 0.7889 1
Ho7 0.6147 0.2500 0.2111 1
Ho8 0.6668 0.7500 0.7837 1
Ho9 0.7474 0.2500 0.6065 1
Ho10 0.7813 0.7500 0.4008 1
Ho11 0.8557 0.7500 0.1918 1
Ho12 0.8643 0.2500 0.9773 1
In1 0.0767 0.2500 0.1963 1
In2 0.9233 0.7500 0.8037 1
```

# 7
Material: YHo4In2
Method: DFT, PBE-GGA
State: relaxed

Values from the calculation:
Symmetry: No. 136
Energy: -4.48 eV/atom

The structure in CIF format:
```
data_YHo4In2
_chemical_formula_sum 'Y2 Ho8 In4'
_space_group_name_H-M_alt 'P 1'
_space_group_IT_number 1
_cell_length_a 9.4039
_cell_length_b 9.4039
_cell_length_c 4.8269
_cell_angle_alpha 90.00
_cell_angle_beta 90.00
_cell_angle_gamma 90.00
loop_
_space_group_symop_operation_xyz
'x,y,z'
loop_
_atom_site_label
_atom_site_fract_x
_atom_site_fract_y
_atom_site_fract_z
_atom_site_occupancy
Y1 0.0000 0.0000 0.0000 1
Y2 0.5000 0.5000 0.5000 1
Ho1 0.1139 0.3580 0.5000 1
Ho2 0.1420 0.6139 0.0000 1
Ho3 0.3580 0.1139 0.5000 1
Ho4 0.3861 0.8580 0.0000 1
Ho5 0.6139 0.1420 0.0000 1
Ho6 0.6420 0.8861 0.5000 1
Ho7 0.8580 0.3861 0.0000 1
Ho8 0.8861 0.6420 0.5000 1
In1 0.1673 0.8327 0.5000 1
In2 0.3327 0.3327 0.0000 1
In3 0.6673 0.6673 0.0000 1
In4 0.8327 0.1673 0.5000 1
```

# 8
Material: Y3HoIn
Method: DFT, PBE-GGA
State: relaxed

Values from the calculation:
Symmetry: No. 166
Energy: -5.33 eV/atom

The structure in CIF format:
```
data_Y3HoIn
_chemical_formula_sum 'Y6 Ho2 In2'
_space_group_name_H-M_alt 'P 1'
_space_group_IT_number 1
_cell_length_a 8.5198
_cell_length_b 8.5198
_cell_length_c 8.5198
_cell_angle_alpha 49.45
_cell_angle_beta 49.45
_cell_angle_gamma 49.45
loop_
_space_group_symop_operation_xyz
'x,y,z'
loop_
_atom_site_label
_atom_site_fract_x
_atom_site_fract_y
_atom_site_fract_z
_atom_site_occupancy
Y1 0.1098 0.1098 0.6039 1
Y2 0.1098 0.6039 0.1098 1
Y3 0.3961 0.8902 0.8902 1
Y4 0.6039 0.1098 0.1098 1
Y5 0.8902 0.3961 0.8902 1
Y6 0.8902 0.8902 0.3961 1
Ho1 0.4126 0.4126 0.4126 1
Ho2 0.5874 0.5874 0.5874 1
In1 0.1662 0.1662 0.1662 1
In2 0.8338 0.8338 0.8338 1
```

# 9
Material: YHo6In5
Method: DFT, PBE-GGA
State: relaxed

Values from the calculation:
Symmetry: No. 71
Energy: -4.35 eV/atom

The structure in CIF format:
```
data_YHo6In5
_chemical_formula_sum 'Y1 Ho6 In5'
_space_group_name_H-M_alt 'P 1'
_space_group_IT_number 1
_cell_length_a 9.0246
_cell_length_b 9.0246
_cell_length_c 9.0246
_cell_angle_alpha 148.17
_cell_angle_beta 121.62
_cell_angle_gamma 68.04
loop_
_space_group_symop_operation_xyz
'x,y,z'
loop_
_atom_site_label
_atom_site_fract_x
_atom_site_fract_y
_atom_site_fract_z
_atom_site_occupancy
Y1 0.0000 0.0000 0.0000 1
Ho1 0.0936 0.8299 0.2636 1
Ho2 0.2734 0.5000 0.7734 1
Ho3 0.4337 0.1701 0.2636 1
Ho4 0.5663 0.8299 0.7364 1
Ho5 0.7266 0.5000 0.2266 1
Ho6 0.9064 0.1701 0.7364 1
In1 0.1513 0.6513 0.5000 1
In2 0.3227 0.3227 0.0000 1
In3 0.5000 0.0000 0.5000 1
In4 0.6773 0.6773 0.0000 1
In5 0.8487 0.3487 0.5000 1
```

# 10
Material: Y5Ho4In
Method: DFT, PBE-GGA
State: relaxed

Values from the calculation:
Symmetry: No. 123
Energy: -5.42 eV/atom

The structure in CIF format:
```
data_Y5Ho4In
_chemical_formula_sum 'Y5 Ho4 In1'
_space_group_name_H-M_alt 'P 1'
_space_group_IT_number 1
_cell_length_a 3.5559
_cell_length_b 3.5559
_cell_length_c 24.3653
_cell_angle_alpha 90.00
_cell_angle_beta 90.00
_cell_angle_gamma 90.00
loop_
_space_group_symop_operation_xyz
'x,y,z'
loop_
_atom_site_label
_atom_site_fract_x
_atom_site_fract_y
_atom_site_fract_z
_atom_site_occupancy
Y1 0.0000 0.0000 0.0000 1
Y2 0.0000 0.0000 0.2064 1
Y3 0.0000 0.0000 0.4133 1
Y4 0.0000 0.0000 0.5867 1
Y5 0.0000 0.0000 0.7936 1
Ho1 0.5000 0.5000 0.1033 1
Ho2 0.5000 0.5000 0.3097 1
Ho3 0.5000 0.5000 0.6903 1
Ho4 0.5000 0.5000 0.8967 1
In1 0.5000 0.5000 0.5000 1
```

# 11
Material: YHo3In3
Method: DFT, PBE-GGA
State: relaxed

Values from the calculation:
Symmetry: No. 176
Energy: -4.27 eV/atom

The structure in CIF format:
```
data_YHo3In3
_chemical_formula_sum 'Y2 Ho6 In6'
_space_group_name_H-M_alt 'P 1'
_space_group_IT_number 1
_cell_length_a 9.0140
_cell_length_b 9.0140
_cell_length_c 5.5337
_cell_angle_alpha 90.00
_cell_angle_beta 90.00
_cell_angle_gamma 120.00
loop_
_space_group_symop_operation_xyz
'x,y,z'
loop_
_atom_site_label
_atom_site_fract_x
_atom_site_fract_y
_atom_site_fract_z
_atom_site_occupancy
Y1 0.3333 0.6667 0.2500 1
Y2 0.6667 0.3333 0.7500 1
Ho1 0.0957 0.6411 0.7500 1
Ho2 0.3589 0.4546 0.7500 1
Ho3 0.4546 0.0957 0.2500 1
Ho4 0.5454 0.9043 0.7500 1
Ho5 0.6411 0.5454 0.2500 1
Ho6 0.9043 0.3589 0.2500 1
In1 0.0482 0.8144 0.2500 1
In2 0.1856 0.2338 0.2500 1
In3 0.2338 0.0482 0.7500 1
In4 0.7662 0.9518 0.2500 1
In5 0.8144 0.7662 0.7500 1
In6 0.9518 0.1856 0.7500 1
```

# 12
Material: Y12Ho7In
Method: DFT, PBE-GGA
State: relaxed

Values from the calculation:
Symmetry: No. 148
Energy: -5.45 eV/atom

The structure in CIF format:
```
data_Y12Ho7In
_chemical_formula_sum 'Y12 Ho7 In1'
_space_group_name_H-M_alt 'P 1'
_space_group_IT_number 1
_cell_length_a 8.6556
_cell_length_b 8.6556
_cell_length_c 8.6556
_cell_angle_alpha 87.97
_cell_angle_beta 87.97
_cell_angle_gamma 87.97
loop_
_space_group_symop_operation_xyz
'x,y,z'
loop_
_atom_site_label
_atom_site_fract_x
_atom_site_fract_y
_atom_site_fract_z
_atom_site_occupancy
Y1 0.0011 0.1129 0.6431 1
Y2 0.1129 0.6431 0.0011 1
Y3 0.2441 0.3663 0.7534 1
Y4 0.2466 0.7559 0.6337 1
Y5 0.3569 0.9989 0.8871 1
Y6 0.3663 0.7534 0.2441 1
Y7 0.6337 0.2466 0.7559 1
Y8 0.6431 0.0011 0.1129 1
Y9 0.7534 0.2441 0.3663 1
Y10 0.7559 0.6337 0.2466 1
Y11 0.8871 0.3569 0.9989 1
Y12 0.9989 0.8871 0.3569 1
Ho1 0.0000 0.0000 0.0000 1
Ho2 0.1124 0.4329 0.3549 1
Ho3 0.3549 0.1124 0.4329 1
Ho4 0.4329 0.3549 0.1124 1
Ho5 0.5671 0.6451 0.8876 1
Ho6 0.6451 0.8876 0.5671 1
Ho7 0.8876 0.5671 0.6451 1
In1 0.5000 0.5000 0.5000 1
```

Number 1: ΔE_f -0.3152 eV/atom. Number 2: ΔE_f -0.0299 eV/atom. Number 3: ΔE_f 0.1613 eV/atom. Number 4: ΔE_f -0.1363 eV/atom. Number 5: ΔE_f -0.2220 eV/atom. Number 6: ΔE_f -0.0318 eV/atom. Number 7: ΔE_f -0.1544 eV/atom. Number 8: ΔE_f 0.0143 eV/atom. Number 9: ΔE_f -0.3797 eV/atom. Number 10: ΔE_f -0.0818 eV/atom. Number 11: ΔE_f -0.2082 eV/atom. Number 12: ΔE_f 0.1722 eV/atom.